Material: Na2SnBr2
Method: DFT, PBE
State: optimized geometry

Summary:
magnetic moment = 0.0 μB per formula unit
energy relative to the elements, uncorrected = -0.58 eV per atom
energy above the lowest structure with this stoichiometry = 113 meV/atom
final energy = -2.577 eV per atom

CIF file:
```
data_Na2SnBr2
_space_group_name_H-M_alt 'I 4/m m m'
_space_group_IT_number 139
_space_group_name_Hall '-I 4 2'
_cell_length_a 5.236
_cell_length_b 5.236
_cell_length_c 11.833
_cell_angle_alpha 90.00
_cell_angle_beta 90.00
_cell_angle_gamma 90.00
loop_
_atom_site_label
_atom_site_fract_x
_atom_site_fract_y
_atom_site_fract_z
Na1 0.000 0.000 0.151
Sn1 0.000 0.000 0.500
Br1 0.000 0.500 0.250
```

=====

Material: NaSn3Br6
Method: DFT, PBE
State: optimized geometry

Summary:
magnetic moment = 0.0 μB per formula unit
energy relative to the elements, uncorrected = -0.79 eV per atom
final energy = -3.124 eV per atom

CIF file:
```
data_NaSn3Br6
_space_group_name_H-M_alt 'P 1 21/m 1'
_space_group_IT_number 11
_space_group_name_Hall '-P 2yb'
_cell_length_a 11.306
_cell_length_b 4.331
_cell_length_c 14.611
_cell_angle_alpha 90.00
_cell_angle_beta 95.19
_cell_angle_gamma 90.00
loop_
_atom_site_label
_atom_site_fract_x
_atom_site_fract_y
_atom_site_fract_z
Na1 0.022 0.250 0.131
Sn1 0.152 0.250 0.593
Sn2 0.324 0.750 0.039
Sn3 0.338 0.250 0.431
Br1 0.112 0.750 0.434
Br2 0.142 0.250 0.957
Br3 0.172 0.750 0.725
Br4 0.194 0.750 0.192
Br5 0.471 0.250 0.122
Br6 0.472 0.250 0.602
```

=====

Material: Na2SnBr5
Method: DFT, PBE
State: optimized geometry

Summary:
magnetic moment = 0.0 μB per formula unit
energy relative to the elements, uncorrected = -0.99 eV per atom
energy above the lowest structure with this stoichiometry = 83 meV/atom
final energy = -2.868 eV per atom

CIF file:
```
data_Na2SnBr5
_space_group_name_H-M_alt 'F m m m'
_space_group_IT_number 69
_space_group_name_Hall '-F 2 2'
_cell_length_a 5.744
_cell_length_b 13.520
_cell_length_c 14.522
_cell_angle_alpha 90.00
_cell_angle_beta 90.00
_cell_angle_gamma 90.00
loop_
_atom_site_label
_atom_site_fract_x
_atom_site_fract_y
_atom_site_fract_z
Na1 0.000 0.000 0.194
Sn1 0.000 0.000 0.500
Br1 0.000 0.000 0.000
Br2 0.000 0.135 0.355
```

=====

Material: Na3SnBr
Method: DFT, PBE
State: optimized geometry

Summary:
magnetic moment = 0.0 μB per formula unit
energy relative to the elements, uncorrected = -0.43 eV per atom
energy above the lowest structure with this stoichiometry = 0 meV/atom
final energy = -2.361 eV per atom

CIF file:
```
data_Na3SnBr
_space_group_name_H-M_alt 'P m -3 m'
_space_group_IT_number 221
_space_group_name_Hall '-P 4 2 3'
_cell_length_a 5.492
_cell_length_b 5.492
_cell_length_c 5.492
_cell_angle_alpha 90.00
_cell_angle_beta 90.00
_cell_angle_gamma 90.00
loop_
_atom_site_label
_atom_site_fract_x
_atom_site_fract_y
_atom_site_fract_z
Na1 0.000 0.000 0.500
Sn1 0.500 0.500 0.500
Br1 0.000 0.000 0.000
```

=====

Material: Na3Sn2Br7
Method: DFT, PBE
State: optimized geometry

Summary:
magnetic moment = 0.0 μB per formula unit
energy relative to the elements, uncorrected = -1.15 eV per atom
final energy = -3.122 eV per atom

CIF file:
```
data_Na3Sn2Br7
_space_group_name_H-M_alt 'C m c 21'
_space_group_IT_number 36
_space_group_name_Hall 'C 2c -2'
_cell_length_a 26.231
_cell_length_b 7.586
_cell_length_c 8.002
_cell_angle_alpha 90.00
_cell_angle_beta 90.00
_cell_angle_gamma 90.00
loop_
_atom_site_label
_atom_site_fract_x
_atom_site_fract_y
_atom_site_fract_z
Na1 0.000 0.231 0.000
Na2 0.194 0.257 0.121
Sn1 0.109 0.250 0.534
Br1 0.000 0.116 0.653
Br2 0.083 0.408 0.186
Br3 0.149 0.063 0.825
Br4 0.209 0.387 0.475
```

=====

Material: Na3Sn2Br8
Method: DFT, PBE
State: optimized geometry

Summary:
magnetic moment = 0.0 μB per formula unit
energy relative to the elements, uncorrected = -1.03 eV per atom
energy above the lowest structure with this stoichiometry = 0 meV/atom
final energy = -2.976 eV per atom

CIF file:
```
data_Na3Sn2Br8
_space_group_name_H-M_alt 'C 1 2/m 1'
_space_group_IT_number 12
_space_group_name_Hall '-C 2y'
_cell_length_a 14.453
_cell_length_b 9.216
_cell_length_c 7.334
_cell_angle_alpha 90.00
_cell_angle_beta 99.48
_cell_angle_gamma 90.00
loop_
_atom_site_label
_atom_site_fract_x
_atom_site_fract_y
_atom_site_fract_z
Na1 0.000 0.000 0.000
Na2 0.000 0.244 0.500
Sn1 0.232 0.000 0.764
Br1 0.093 0.500 0.376
Br2 0.121 0.219 0.870
Br3 0.131 0.000 0.414
```

=====

Material: NaSn3Br
Method: DFT, PBE
State: optimized geometry

Summary:
magnetic moment = 0.0 μB per formula unit
energy relative to the elements, uncorrected = 0.54 eV per atom
energy above the lowest structure with this stoichiometry = 157 meV/atom
final energy = -2.457 eV per atom

CIF file:
```
data_NaSn3Br
_space_group_name_H-M_alt 'P m -3 m'
_space_group_IT_number 221
_space_group_name_Hall '-P 4 2 3'
_cell_length_a 5.556
_cell_length_b 5.556
_cell_length_c 5.556
_cell_angle_alpha 90.00
_cell_angle_beta 90.00
_cell_angle_gamma 90.00
loop_
_atom_site_label
_atom_site_fract_x
_atom_site_fract_y
_atom_site_fract_z
Na1 0.000 0.000 0.000
Sn1 0.000 0.000 0.500
Br1 0.500 0.500 0.500
```

=====

Material: Na4SnBr6
Method: DFT, PBE
State: optimized geometry

Summary:
magnetic moment = 0.0 μB per formula unit
energy relative to the elements, uncorrected = -1.25 eV per atom
final energy = -3.006 eV per atom

CIF file:
```
data_Na4SnBr6
_space_group_name_H-M_alt 'R -3 c'
_space_group_IT_number 167
_space_group_name_Hall '-R 3 2"c'
_cell_length_a 12.7503
_cell_length_b 12.7503
_cell_length_c 14.8985
_cell_angle_alpha 90.00
_cell_angle_beta 90.00
_cell_angle_gamma 120.00
loop_
_atom_site_label
_atom_site_fract_x
_atom_site_fract_y
_atom_site_fract_z
Na1 0.0000 0.0000 0.2500
Na2 0.0000 0.3574 0.2500
Sn1 0.0000 0.0000 0.0000
Br1 0.0379 0.2028 0.3846
```

=====

Material: Na3Sn5Br12
Method: DFT, PBE
State: optimized geometry

Summary:
magnetic moment = 0.0 μB per formula unit
energy relative to the elements, uncorrected = -0.81 eV per atom
final energy = -3.015 eV per atom

CIF file:
```
data_Na3Sn5Br12
_space_group_name_H-M_alt 'I a -3 d'
_space_group_IT_number 230
_space_group_name_Hall '-I 4bd 2c 3'
_cell_length_a 18.300
_cell_length_b 18.300
_cell_length_c 18.300
_cell_angle_alpha 90.00
_cell_angle_beta 90.00
_cell_angle_gamma 90.00
loop_
_atom_site_label
_atom_site_fract_x
_atom_site_fract_y
_atom_site_fract_z
Na1 0.000 0.250 0.125
Sn1 0.000 0.000 0.000
Sn2 0.000 0.250 0.375
Br1 0.022 0.067 0.650
```

=====

Material: NaSnBr2
Method: DFT, PBE
State: optimized geometry

Summary:
magnetic moment = 0.0 μB per formula unit
energy relative to the elements, uncorrected = -0.65 eV per atom
energy above the lowest structure with this stoichiometry = 195 meV/atom
final energy = -2.815 eV per atom

CIF file:
```
data_NaSnBr2
_space_group_name_H-M_alt 'F m -3 m'
_space_group_IT_number 225
_space_group_name_Hall '-F 4 2 3'
_cell_length_a 7.649
_cell_length_b 7.649
_cell_length_c 7.649
_cell_angle_alpha 90.00
_cell_angle_beta 90.00
_cell_angle_gamma 90.00
loop_
_atom_site_label
_atom_site_fract_x
_atom_site_fract_y
_atom_site_fract_z
Na1 0.000 0.000 0.000
Sn1 0.000 0.000 0.500
Br1 0.250 0.250 0.250
```

=====

Material: NaSnBr4
Method: DFT, PBE
State: optimized geometry

Summary:
magnetic moment = 0.4 μB per formula unit
energy relative to the elements, uncorrected = -0.89 eV per atom
energy above the lowest structure with this stoichiometry = 16 meV/atom
final energy = -2.897 eV per atom

CIF file:
```
data_NaSnBr4
_space_group_name_H-M_alt 'C 1 2/c 1'
_space_group_IT_number 15
_space_group_name_Hall '-C 2yc'
_cell_length_a 8.525
_cell_length_b 17.011
_cell_length_c 7.133
_cell_angle_alpha 90.00
_cell_angle_beta 124.56
_cell_angle_gamma 90.00
loop_
_atom_site_label
_atom_site_fract_x
_atom_site_fract_y
_atom_site_fract_z
Na1 0.000 0.085 0.250
Sn1 0.000 0.419 0.750
Br1 0.216 0.314 0.725
Br2 0.246 0.453 0.229
```

=====

Material: NaSrSnBr5
Method: DFT, PBE
State: optimized geometry

Summary:
magnetic moment = 0.0 μB per formula unit
energy relative to the elements, uncorrected = -1.42 eV per atom
final energy = -3.338 eV per atom

CIF file:
```
data_NaSrSnBr5
_space_group_name_H-M_alt 'C 1 2/c 1'
_space_group_IT_number 15
_space_group_name_Hall '-C 2yc'
_cell_length_a 10.226
_cell_length_b 13.948
_cell_length_c 9.801
_cell_angle_alpha 90.00
_cell_angle_beta 108.21
_cell_angle_gamma 90.00
loop_
_atom_site_label
_atom_site_fract_x
_atom_site_fract_y
_atom_site_fract_z
Na1 0.000 0.003 0.250
Sr1 0.250 0.250 0.000
Sn1 0.000 0.488 0.750
Br1 0.000 0.201 0.750
Br2 0.012 0.365 0.061
Br3 0.195 0.050 0.106
```

=====

Material: NaTbSnBr6
Method: DFT, PBE
State: optimized geometry

Summary:
magnetic moment = 0.0 μB per formula unit
energy relative to the elements, uncorrected = -1.42 eV per atom
final energy = -3.638 eV per atom

CIF file:
```
data_NaTbSnBr6
_space_group_name_H-M_alt 'P -3 1 c'
_space_group_IT_number 163
_space_group_name_Hall '-P 3 2c'
_cell_length_a 7.3637
_cell_length_b 7.3637
_cell_length_c 13.0720
_cell_angle_alpha 90.00
_cell_angle_beta 90.00
_cell_angle_gamma 120.00
loop_
_atom_site_label
_atom_site_fract_x
_atom_site_fract_y
_atom_site_fract_z
Na1 0.3333 0.6667 0.2500
Tb1 0.3333 0.6667 0.7500
Sn1 0.0000 0.0000 0.0000
Br1 0.0165 0.3522 0.6265
```

=====

Material: Na2TiSnBr
Method: DFT, PBE
State: optimized geometry

Summary:
magnetic moment = 3.0 μB per formula unit
energy relative to the elements, uncorrected = 0.41 eV per atom
final energy = -2.835 eV per atom

CIF file:
```
data_Na2TiSnBr
_space_group_name_H-M_alt 'P 4/m m m'
_space_group_IT_number 123
_space_group_name_Hall '-P 4 2'
_cell_length_a 6.242
_cell_length_b 6.242
_cell_length_c 5.240
_cell_angle_alpha 90.00
_cell_angle_beta 90.00
_cell_angle_gamma 90.00
loop_
_atom_site_label
_atom_site_fract_x
_atom_site_fract_y
_atom_site_fract_z
Na1 0.000 0.500 0.000
Ti1 0.000 0.000 0.000
Sn1 0.000 0.000 0.500
Br1 0.500 0.500 0.500
```

=====

Material: Na3Tl2SnBr8
Method: DFT, PBE
State: optimized geometry

Summary:
magnetic moment = 0.0 μB per formula unit
energy relative to the elements, uncorrected = -1.03 eV per atom
final energy = -2.889 eV per atom

CIF file:
```
data_Na3Tl2SnBr8
_space_group_name_H-M_alt 'R 3 m'
_space_group_IT_number 160
_space_group_name_Hall 'R 3 -2"'
_cell_length_a 8.9384
_cell_length_b 8.9384
_cell_length_c 22.1986
_cell_angle_alpha 90.00
_cell_angle_beta 90.00
_cell_angle_gamma 120.00
loop_
_atom_site_label
_atom_site_fract_x
_atom_site_fract_y
_atom_site_fract_z
Na1 0.0045 0.5022 0.0000
Tl1 0.0000 0.0000 0.1241
Tl2 0.0000 0.0000 0.5064
Sn1 0.0000 0.0000 0.8684
Br1 0.0000 0.0000 0.2586
Br2 0.0000 0.0000 0.7262
Br3 0.1754 0.3507 0.5947
Br4 0.1763 0.3527 0.0774
```

=====

Material: NaTl2SnBr5
Method: DFT, PBE
State: optimized geometry

Summary:
magnetic moment = 0.0 μB per formula unit
energy relative to the elements, uncorrected = -0.95 eV per atom
final energy = -2.997 eV per atom

CIF file:
```
data_NaTl2SnBr5
_space_group_name_H-M_alt 'C m c 21'
_space_group_IT_number 36
_space_group_name_Hall 'C 2c -2'
_cell_length_a 4.621
_cell_length_b 18.848
_cell_length_c 14.836
_cell_angle_alpha 90.00
_cell_angle_beta 90.00
_cell_angle_gamma 90.00
loop_
_atom_site_label
_atom_site_fract_x
_atom_site_fract_y
_atom_site_fract_z
Na1 0.000 0.221 0.000
Tl1 0.000 0.106 0.637
Tl2 0.000 0.151 0.267
Sn1 0.000 0.463 0.423
Br1 0.000 0.064 0.040
Br2 0.000 0.276 0.640
Br3 0.000 0.316 0.369
Br4 0.000 0.376 0.974
Br5 0.000 0.492 0.739
```

=====

Material: Na2TlSnBr8
Method: DFT, PBE
State: optimized geometry

Summary:
magnetic moment = 0.2 μB per formula unit
energy relative to the elements, uncorrected = -0.86 eV per atom
final energy = -2.727 eV per atom

CIF file:
```
data_Na2TlSnBr8
_space_group_name_H-M_alt 'P -1'
_space_group_IT_number 2
_space_group_name_Hall '-P 1'
_cell_length_a 6.201
_cell_length_b 6.987
_cell_length_c 9.618
_cell_angle_alpha 90.02
_cell_angle_beta 90.13
_cell_angle_gamma 93.34
loop_
_atom_site_label
_atom_site_fract_x
_atom_site_fract_y
_atom_site_fract_z
Na1 0.002 0.000 0.271
Tl1 0.500 0.500 0.000
Sn1 0.500 0.500 0.500
Br1 0.252 0.016 0.000
Br2 0.257 0.173 0.501
Br3 0.267 0.642 0.297
Br4 0.269 0.644 0.702
```